# 1
This record from Alexandria via LeMat-Bulk describes a relaxed structure of AgPI5. The functional is GGA-PBE.

a b c (Å): 10.961 10.961 7.985
angles (deg): 111.30 111.30 114.22
Fractional coordinates of all 14 atoms:
Ag (0.000, 0.000, 0.000)
Ag (0.000, 0.000, 0.500)
P (0.355, 0.645, 0.750)
P (0.645, 0.355, 0.250)
I (0.105, 0.895, 0.250)
I (0.186, 0.319, 0.476)
I (0.255, 0.707, 0.978)
I (0.293, 0.745, 0.522)
I (0.319, 0.186, 0.976)
I (0.681, 0.814, 0.024)
I (0.707, 0.255, 0.478)
I (0.745, 0.293, 0.022)
I (0.814, 0.681, 0.524)
I (0.895, 0.105, 0.750)

Output
* formation energy without anion corrections: -0.03 eV per atom
* total energy: -2.3207 eV/atom
* D(E_F): 3.2 states/eV/f.u.



# 2
This record from Alexandria via LeMat-Bulk describes a relaxed structure of Sc8SeS6. The functional is GGA-PBE.

a b c (Å): 9.494 9.494 3.746
angles (deg): 90.00 90.00 120.00
Fractional coordinates of all 15 atoms:
Sc (0.034, 0.335, 0.238)
Sc (0.301, 0.966, 0.238)
Sc (0.333, 0.667, 0.757)
Sc (0.335, 0.301, 0.762)
Sc (0.665, 0.699, 0.238)
Sc (0.667, 0.333, 0.243)
Sc (0.699, 0.034, 0.762)
Sc (0.966, 0.665, 0.762)
Se (0.000, 0.000, 0.000)
S (0.134, 0.659, 0.258)
S (0.341, 0.475, 0.258)
S (0.475, 0.134, 0.742)
S (0.525, 0.866, 0.258)
S (0.659, 0.525, 0.742)
S (0.866, 0.341, 0.742)

Output
* formation energy without anion corrections: -1.47 eV per atom
* total energy: -6.7307 eV/atom
* D(E_F): 7.9 states/eV/f.u.



# 3
This record from Alexandria via LeMat-Bulk describes a relaxed structure of RbSb3Te. The functional is GGA-PBE.

a b c (Å): 5.897 5.897 5.897
angles (deg): 90.00 90.00 90.00
Fractional coordinates of all 5 atoms:
Rb (0.000, 0.000, 0.000)
Sb (0.000, 0.500, 0.500)
Sb (0.500, 0.000, 0.500)
Sb (0.500, 0.500, 0.000)
Te (0.500, 0.500, 0.500)

Output
* formation energy without anion corrections: 0.37 eV per atom
* total energy: -2.9221 eV/atom
* D(E_F): 8.6 states/eV/f.u.



Number 1: theoretical density 3.9 g/cm3. Number 2: theoretical density 3.6 g/cm3. Number 3: theoretical density 4.7 g/cm3.